Entry from OQMD via LeMat-Bulk: crystalline TmLuBe at its relaxed geometry (PBE-GGA).

Results
E_tot = -3.2271 eV per atom
energy above the lowest structure with this stoichiometry = 0.00 eV per formula unit
SG = F-43m

Geometry as POSCAR:
```
TmLuBe
1.0
-3.0751 -2.1510 2.8892
-4.2792 1.8916 0.7355
-3.8543 -2.0974 -1.7820
Be Lu Tm
1 1 1
Cartesian
-5.6043 -1.1784 0.9214
-2.8022 -0.5892 0.4607
0.0000 0.0000 0.0000
```